# SrLaAg2Au, relaxed, DFT GGA-PBE
data_SrLaAg2Au
_space_group_name_H-M_alt 'P 4/m m m'
_space_group_IT_number 123
_space_group_name_Hall '-P 4 2'
_cell_length_a 5.332
_cell_length_b 5.332
_cell_length_c 5.445
_cell_angle_alpha 90.00
_cell_angle_beta 90.00
_cell_angle_gamma 90.00
loop_
_atom_site_label
_atom_site_fract_x
_atom_site_fract_y
_atom_site_fract_z
Sr1 0.000 0.000 0.000
La1 0.500 0.500 0.000
Ag1 0.000 0.500 0.500
Au1 0.000 0.000 0.500
# Magnetization in μB/f.u.: 0.00
# Fermi-level density of states in states/eV per cell: 4.513
# ΔH_f (0 K) in eV/f.u.: 0.64
# Total energy in eV per atom: -2.9900



# TcMo, relaxed, DFT GGA-PBE
data_TcMo
_space_group_name_H-M_alt 'P 3 m 1'
_space_group_IT_number 156
_cell_length_a 2.7792
_cell_length_b 2.7792
_cell_length_c 13.7434
_cell_angle_alpha 90.00
_cell_angle_beta 90.00
_cell_angle_gamma 120.00
loop_
_space_group_symop_operation_xyz
'x,y,z'
'-y,x-y,z'
'-x+y,-x,z'
'-y,-x,z'
'-x+y,y,z'
'x,x-y,z'
loop_
_atom_site_label
_atom_site_fract_x
_atom_site_fract_y
_atom_site_fract_z
Tc1 0.0000 0.0000 0.0000
Tc2 0.0000 0.0000 0.3343
Tc3 0.3333 0.6667 0.8446
Mo1 0.0000 0.0000 0.6751
Mo2 0.3333 0.6667 0.1703
Mo3 0.3333 0.6667 0.4977
# E above lowest polymorph in kJ/mol of formula units: 25
# Magnetization in μB/f.u.: 0.00
# Fermi-level density of states in states/eV per cell: 7.053
# ΔH_f (0 K) in eV/f.u.: 0.41
# Total energy in eV per atom: -10.3918



# Mg2PRu, relaxed, DFT GGA-PBE
data_Mg2PRu
_space_group_name_H-M_alt 'I m m m'
_space_group_IT_number 71
_space_group_name_Hall '-I 2 2'
_cell_length_a 3.787
_cell_length_b 3.802
_cell_length_c 8.391
_cell_angle_alpha 90.00
_cell_angle_beta 90.00
_cell_angle_gamma 90.00
loop_
_atom_site_label
_atom_site_fract_x
_atom_site_fract_y
_atom_site_fract_z
Mg1 0.000 0.000 0.250
P1 0.000 0.500 0.000
Ru1 0.000 0.500 0.500
# Magnetization in μB/f.u.: 0.00
# Fermi-level density of states in states/eV per cell: 4.299
# ΔH_f (0 K) in eV/f.u.: -0.31
# Total energy in eV per atom: -4.5454



# La3SmAs3, relaxed, DFT GGA-PBE
data_La3SmAs3
_space_group_name_H-M_alt 'P 21 3'
_space_group_IT_number 198
_space_group_name_Hall 'P 2ac 2ab 3'
_cell_length_a 9.147
_cell_length_b 9.147
_cell_length_c 9.147
_cell_angle_alpha 90.00
_cell_angle_beta 90.00
_cell_angle_gamma 90.00
loop_
_atom_site_label
_atom_site_fract_x
_atom_site_fract_y
_atom_site_fract_z
La1 0.066 0.434 0.566
La2 0.182 0.182 0.182
La3 0.182 0.818 0.318
Sm1 0.066 0.566 0.934
As1 0.001 0.254 0.872
# Magnetization in μB/f.u.: 0.00
# Fermi-level density of states in states/eV per cell: 32.266
# ΔH_f (0 K) in eV/f.u.: -9.21
# Total energy in eV per atom: -6.0943



Which formula does entry 3 have? Mg2PRu